Here is crystalline ErVGa4 at its relaxed geometry from the Alexandria database. Energies are from PBE.

abc: 7.4208 7.4208 7.4208
angles: 90.00 90.00 90.00
Last column: nearest neighbours and their distance in Å.
Space group F-43m (No. 216)
Unique sites:
1 Er 0.0000 0.0000 0.0000 x4  12 Ga 3.08, 4 V 3.21
2 V 0.2500 0.2500 0.7500 x4  12 Ga 3.08, 4 Er 3.21
3 Ga 0.1245 0.1245 0.3755 x16  6 Ga 2.61-2.63

Values from the calculation:
E ... -4.496 eV/atom